# 1
# YCoMo2 (PBE, optimized geometry)
data_YCoMo2
_space_group_name_H-M_alt 'I 4/m m m'
_space_group_IT_number 139
_space_group_name_Hall '-I 4 2'
_cell_length_a 3.7902
_cell_length_b 3.7902
_cell_length_c 9.6383
_cell_angle_alpha 90.00
_cell_angle_beta 90.00
_cell_angle_gamma 90.00
loop_
_atom_site_label
_atom_site_fract_x
_atom_site_fract_y
_atom_site_fract_z
Y1 0.0000 0.0000 0.0000
Co1 0.0000 0.0000 0.5000
Mo1 0.0000 0.5000 0.2500
# * density of states at the Fermi level: 0.878 states/eV/atom
# * ρ: 8.1 g/cm3
# * energy relative to the elements: 0.397 eV per atom

# 2
# La5HoHg4 (PBE, optimized geometry)
data_La5HoHg4
_space_group_name_H-M_alt 'P 4/m m m'
_space_group_IT_number 123
_space_group_name_Hall '-P 4 2'
_cell_length_a 3.8802
_cell_length_b 3.8802
_cell_length_c 20.5147
_cell_angle_alpha 90.00
_cell_angle_beta 90.00
_cell_angle_gamma 90.00
loop_
_atom_site_label
_atom_site_fract_x
_atom_site_fract_y
_atom_site_fract_z
La1 0.0000 0.0000 0.0000
La2 0.0000 0.0000 0.1919
La3 0.0000 0.0000 0.3840
Ho1 0.5000 0.5000 0.5000
Hg1 0.5000 0.5000 0.0955
Hg2 0.5000 0.5000 0.2914
# * density of states at the Fermi level: 1.286 states/eV/atom
# * ρ: 8.9 g/cm3
# * energy relative to the elements: -0.382 eV per atom

# 3
# RuSIN2 (PBE, optimized geometry)
data_RuSIN2
_space_group_name_H-M_alt 'P 4/m m m'
_space_group_IT_number 123
_space_group_name_Hall '-P 4 2'
_cell_length_a 3.6168
_cell_length_b 3.6168
_cell_length_c 7.1357
_cell_angle_alpha 90.00
_cell_angle_beta 90.00
_cell_angle_gamma 90.00
loop_
_atom_site_label
_atom_site_fract_x
_atom_site_fract_y
_atom_site_fract_z
Ru1 0.0000 0.0000 0.0000
S1 0.5000 0.5000 0.5000
I1 0.5000 0.5000 0.0000
N1 0.0000 0.5000 0.5000
# * density of states at the Fermi level: 0.840 states/eV/atom
# * raw formation energy: 186.5 kJ/mol of atoms
# * ρ: 5.1 g/cm3

# 4
# K2LiReS4 (PBE, optimized geometry)
data_K2LiReS4
_space_group_name_H-M_alt 'I -4'
_space_group_IT_number 82
_space_group_name_Hall 'I -4'
_cell_length_a 7.2600
_cell_length_b 7.2600
_cell_length_c 8.2953
_cell_angle_alpha 90.00
_cell_angle_beta 90.00
_cell_angle_gamma 90.00
loop_
_atom_site_label
_atom_site_fract_x
_atom_site_fract_y
_atom_site_fract_z
K1 0.0000 0.0000 0.0000
K2 0.0000 0.5000 0.2500
Li1 0.0000 0.5000 0.7500
Re1 0.0000 0.0000 0.5000
S1 0.1423 0.7854 0.6473
# * density of states at the Fermi level: 0.104 states/eV/atom
# * raw formation energy: -78.3 kJ/mol of atoms
# * ρ: 3.0 g/cm3

# 5
# PH5Rh5 (PBE, optimized geometry)
data_PH5Rh5
_space_group_name_H-M_alt 'P -1'
_space_group_IT_number 2
_space_group_name_Hall '-P 1'
_cell_length_a 4.6382
_cell_length_b 4.8145
_cell_length_c 4.9075
_cell_angle_alpha 80.39
_cell_angle_beta 76.04
_cell_angle_gamma 78.29
loop_
_atom_site_label
_atom_site_fract_x
_atom_site_fract_y
_atom_site_fract_z
P1 0.0000 0.0000 0.0000
H1 0.1220 0.3977 0.3488
H2 0.4344 0.4400 0.7842
H3 0.5000 0.0000 0.5000
Rh1 0.0000 0.5000 0.0000
Rh2 0.1824 0.7508 0.3952
Rh3 0.4865 0.7944 0.8199
# * energy: -5.4299 eV per atom
# * density of states at the Fermi level: 0.599 states/eV/atom
# * ρ: 8.8 g/cm3

# 6
# Re2HgCl (PBE, optimized geometry)
data_Re2HgCl
_space_group_name_H-M_alt 'C m m 2'
_space_group_IT_number 35
_space_group_name_Hall 'C 2 -2'
_cell_length_a 2.8902
_cell_length_b 5.0223
_cell_length_c 10.5470
_cell_angle_alpha 90.00
_cell_angle_beta 90.00
_cell_angle_gamma 90.00
loop_
_atom_site_label
_atom_site_fract_x
_atom_site_fract_y
_atom_site_fract_z
Re1 0.0000 0.0000 0.0000
Re2 0.0000 0.5000 0.2011
Hg1 0.0000 0.5000 0.7376
Cl1 0.0000 0.0000 0.3958
# * density of states at the Fermi level: 0.794 states/eV/atom
# * raw formation energy: 51.7 kJ/mol of atoms
# * ρ: 13.2 g/cm3

# 7
# AcCoH4 (PBE, optimized geometry)
data_AcCoH4
_space_group_name_H-M_alt 'I -4 m 2'
_space_group_IT_number 119
_space_group_name_Hall 'I -4 -2'
_cell_length_a 4.9658
_cell_length_b 4.9658
_cell_length_c 7.0601
_cell_angle_alpha 90.00
_cell_angle_beta 90.00
_cell_angle_gamma 90.00
loop_
_atom_site_label
_atom_site_fract_x
_atom_site_fract_y
_atom_site_fract_z
Ac1 0.0000 0.0000 0.0000
Co1 0.0000 0.5000 0.2500
H1 0.2219 0.2781 0.2500
# * energy: -4.3552 eV per atom
# * density of states at the Fermi level: 0.348 states/eV/atom
# * ρ: 5.5 g/cm3

# 8
# Li2YGa2Ge2 (PBE, optimized geometry)
data_Li2YGa2Ge2
_space_group_name_H-M_alt 'R -3 m'
_space_group_IT_number 166
_space_group_name_Hall '-R 3 2"'
_cell_length_a 4.3689
_cell_length_b 4.3689
_cell_length_c 23.1878
_cell_angle_alpha 90.00
_cell_angle_beta 90.00
_cell_angle_gamma 120.00
loop_
_atom_site_label
_atom_site_fract_x
_atom_site_fract_y
_atom_site_fract_z
Li1 0.0000 0.0000 0.1429
Y1 0.0000 0.0000 0.0000
Ga1 0.0000 0.0000 0.4402
Ge1 0.0000 0.0000 0.2589
# * density of states at the Fermi level: 0.302 states/eV/atom
# * ρ: 5.0 g/cm3
# * energy relative to the elements: -0.408 eV per atom

# 9
# HfZrNb3 (PBE, optimized geometry)
data_HfZrNb3
_space_group_name_H-M_alt 'P m -3 m'
_space_group_IT_number 221
_space_group_name_Hall '-P 4 2 3'
_cell_length_a 4.9057
_cell_length_b 4.9057
_cell_length_c 4.9057
_cell_angle_alpha 90.00
_cell_angle_beta 90.00
_cell_angle_gamma 90.00
loop_
_atom_site_label
_atom_site_fract_x
_atom_site_fract_y
_atom_site_fract_z
Hf1 0.0000 0.0000 0.0000
Zr1 0.5000 0.5000 0.5000
Nb1 0.0000 0.0000 0.5000
# * density of states at the Fermi level: 1.221 states/eV/atom
# * ρ: 7.7 g/cm3
# * energy relative to the elements: 1.362 eV per atom

# 10
# SrAsIrBr2 (PBE, optimized geometry)
data_SrAsIrBr2
_space_group_name_H-M_alt 'P 4/m m m'
_space_group_IT_number 123
_space_group_name_Hall '-P 4 2'
_cell_length_a 5.6063
_cell_length_b 5.6063
_cell_length_c 6.3696
_cell_angle_alpha 90.00
_cell_angle_beta 90.00
_cell_angle_gamma 90.00
loop_
_atom_site_label
_atom_site_fract_x
_atom_site_fract_y
_atom_site_fract_z
Sr1 0.0000 0.0000 0.0000
As1 0.0000 0.0000 0.5000
Ir1 0.5000 0.5000 0.5000
Br1 0.0000 0.5000 0.0000
# * density of states at the Fermi level: 2.747 states/eV/atom
# * raw formation energy: 81.6 kJ/mol of atoms
# * ρ: 4.3 g/cm3

# 11
# Sm2HoEr6Tm (PBE, optimized geometry)
data_Sm2HoEr6Tm
_space_group_name_H-M_alt 'C 1 2/c 1'
_space_group_IT_number 15
_space_group_name_Hall '-C 2yc'
_cell_length_a 8.9451
_cell_length_b 14.9190
_cell_length_c 9.5588
_cell_angle_alpha 90.00
_cell_angle_beta 98.62
_cell_angle_gamma 90.00
loop_
_atom_site_label
_atom_site_fract_x
_atom_site_fract_y
_atom_site_fract_z
Sm1 0.2474 0.0522 0.0434
Ho1 0.0000 0.0197 0.7500
Er1 0.0634 0.1896 0.4427
Er2 0.1032 0.3941 0.6192
Er3 0.2026 0.2232 0.8133
Tm1 0.0000 0.4076 0.2500
# * density of states at the Fermi level: 1.308 states/eV/atom
# * ρ: 8.6 g/cm3
# * energy relative to the elements: 0.118 eV per atom

# 12
# Tl2CuAsSe4 (PBE, optimized geometry)
data_Tl2CuAsSe4
_space_group_name_H-M_alt 'F d d d'
_space_group_IT_number 70
_cell_length_a 6.1719
_cell_length_b 13.4833
_cell_length_c 21.8722
_cell_angle_alpha 90.00
_cell_angle_beta 90.00
_cell_angle_gamma 90.00
loop_
_space_group_symop_operation_xyz
'x,y,z'
'-x,-y,-z'
'-x+1/4,-y+1/4,z'
'x+1/4,y+1/4,-z'
'x,-y+1/4,-z+1/4'
'-x,y+1/4,z+1/4'
'-x+1/4,y,-z+1/4'
'x+1/4,-y,z+1/4'
'x,y+1/2,z+1/2'
'-x,-y+1/2,-z+1/2'
'-x+1/4,-y+3/4,z+1/2'
'x+1/4,y+3/4,-z+1/2'
'x,-y+3/4,-z+3/4'
'-x,y+3/4,z+3/4'
'-x+1/4,y+1/2,-z+3/4'
'x+1/4,-y+1/2,z+3/4'
'x+1/2,y,z+1/2'
'-x+1/2,-y,-z+1/2'
'-x+3/4,-y+1/4,z+1/2'
'x+3/4,y+1/4,-z+1/2'
'x+1/2,-y+1/4,-z+3/4'
'-x+1/2,y+1/4,z+3/4'
'-x+3/4,y,-z+3/4'
'x+3/4,-y,z+3/4'
'x+1/2,y+1/2,z'
'-x+1/2,-y+1/2,-z'
'-x+3/4,-y+3/4,z'
'x+3/4,y+3/4,-z'
'x+1/2,-y+3/4,-z+1/4'
'-x+1/2,y+3/4,z+1/4'
'-x+3/4,y+1/2,-z+1/4'
'x+3/4,-y+1/2,z+1/4'
loop_
_atom_site_label
_atom_site_fract_x
_atom_site_fract_y
_atom_site_fract_z
Tl1 0.1250 0.1250 0.3109
Cu1 0.1250 0.1250 0.6250
As1 0.1250 0.1250 0.1250
Se1 0.1101 0.2760 0.4365
# * density of states at the Fermi level: 0.299 states/eV/atom
# * raw formation energy: -18.6 kJ/mol of atoms
# * ρ: 6.3 g/cm3